Compound: MnIr5
Source: Alexandria
Functional: PBE-GGA
Structure: optimized geometry

Results
The value obtained for the total DFT energy (no corrections) is -8.38 eV per atom. The formation energy comes out at 532 meV per atom. The spin magnetization comes out at 2.0 μB per formula unit.

a = 7.2576 Å, b = 7.2576 Å, c = 7.2576 Å
α = 90.00°, β = 90.00°, γ = 90.00°
Closest atoms and distances in Å follow each position.
Space group F-43m (No. 216)
Asymmetric unit:
1 Mn 0.0000 0.0000 0.0000 [4 per cell]  16 Ir 3.01-3.14
2 Ir 0.1249 0.1249 0.3751 [16 per cell]  6 Ir 2.56-2.57
3 Ir 0.2500 0.2500 0.7500 [4 per cell]  12 Ir 3.01, 4 Mn 3.14